{"formula": "TmNpFe2", "functional": "PBE-GGA", "state": "relaxed", "lattice": [[3.366, 0.000, 0.000], [-1.683, 2.915, 0.000], [0.000, 0.000, 22.407]], "species": ["Tm", "Tm", "Tm", "Np", "Np", "Np", "Fe", "Fe", "Fe", "Fe", "Fe", "Fe"], "frac_coords": [[0.000, 0.000, 0.000], [0.333, 0.667, 0.667], [0.667, 0.333, 0.333], [0.000, 0.000, 0.500], [0.333, 0.667, 0.167], [0.667, 0.333, 0.833], [0.000, 0.000, 0.238], [0.000, 0.000, 0.762], [0.333, 0.667, 0.428], [0.333, 0.667, 0.905], [0.667, 0.333, 0.095], [0.667, 0.333, 0.572]], "relative_energy_mev_per_atom": 222, "formation_enthalpy_0k_ev_per_atom": 0.253, "dos_at_fermi_per_ev_cell": 14.78, "total_magnetization_mub_per_cell": 0.953, "total_energy_ev_per_fu": -33.32}